An optimized crystal structure of UIn. Source: the Alexandria database, functional PBE.

Summary:
ΔE_f = 87 meV per atom

Structure (POSCAR):
```
UIn
1.0
3.655 0.000 0.000
0.000 3.800 0.000
-0.619 0.000 6.763
U In
2 2
direct
0.187 0.250 0.080
0.813 0.750 0.920
0.259 0.250 0.618
0.741 0.750 0.382
```

***

An optimized crystal structure of Fe3CuSi. Source: the Alexandria database, functional PBE.

Summary:
energy above the most stable polymorph in this dataset = 354 meV/atom
ΔE_f (raw) = 1.16 eV per atom

Structure (POSCAR):
```
Fe3CuSi
1.0
4.323 0.000 0.000
0.000 4.323 0.000
0.000 0.000 4.323
Fe Cu Si
3 1 1
direct
0.000 0.000 0.500
0.000 0.500 0.000
0.500 0.000 0.000
0.000 0.000 0.000
0.500 0.500 0.500
```

***

An optimized crystal structure of CePuHgSb. Source: the Alexandria database, functional PBE.

Summary:
ΔE_f (raw) = -0.46 eV per atom

Structure (POSCAR):
```
CePuHgSb
1.0
0.000 3.811 3.811
3.811 0.000 3.811
3.811 3.811 0.000
Ce Pu Hg Sb
1 1 1 1
direct
0.000 0.000 0.000
0.500 0.500 0.500
0.750 0.750 0.750
0.250 0.250 0.250
```

***

An optimized crystal structure of Rb2MgCl. Source: the Alexandria database, functional PBE.

Summary:
energy above the most stable polymorph in this dataset = 0 meV/atom
ΔE_f (raw) = -0.64 eV per atom

Structure (POSCAR):
```
Rb2MgCl
1.0
-4.775 4.775 4.753
4.775 -4.775 4.753
4.775 4.775 -4.753
Rb Mg Cl
4 2 2
direct
0.053 0.625 0.928
0.375 0.303 0.428
0.697 0.125 0.072
0.875 0.947 0.572
0.250 0.750 0.500
0.500 0.500 0.000
0.000 0.000 0.000
0.750 0.250 0.500
```

***

Going through the records in order, we get energy values of -27.704 -29.120 -26.543 -15.848 eV/cell.